The following is a PBE calculation of LuGe2Ru after structural relaxation, from Alexandria.

Properties
**Formation enthalpy at 0 K**: -0.5435 eV per atom
**Size of the total moment**: 0.000 μB per cell

a = 5.323 Å, b = 5.323 Å, c = 5.323 Å
α = 46.26°, β = 46.26°, γ = 46.26°
Positions (direct):
Lu  0.000  0.000  0.000
Ge  0.225  0.225  0.225
Ge  0.775  0.775  0.775
Ru  0.500  0.500  0.500